LiAlCrAu | PBE | relaxed

Lattice parameters (Å, degrees): 4.368 4.368 4.368 60.00 60.00 60.00
Element x y z (fractional)
Li1 0.000 0.000 0.000
Al1 0.500 0.500 0.500
Cr1 0.250 0.250 0.250
Au1 0.750 0.750 0.750

Results
Energy relative to the elements ... -0.198 eV per atom

***

NaAlCr2Au | PBE | relaxed

Lattice parameters (Å, degrees): 4.867 4.867 4.825 90.00 90.00 90.00
Element x y z (fractional)
Na1 0.000 0.000 0.000
Al1 0.500 0.500 0.500
Cr1 0.000 0.500 0.000
Cr2 0.500 0.000 0.000
Au1 0.000 0.000 0.500

Results
Energy relative to the elements ... 1.454 eV per atom

***

AlCrPtAu | PBE | relaxed

Lattice parameters (Å, degrees): 4.456 4.456 4.456 60.00 60.00 60.00
Element x y z (fractional)
Al1 0.000 0.000 0.000
Cr1 0.500 0.500 0.500
Pt1 0.250 0.250 0.250
Au1 0.750 0.750 0.750

Results
Energy relative to the elements ... -0.335 eV per atom

***

AlCrSb2Au | PBE | relaxed

Lattice parameters (Å, degrees): 4.914 4.914 5.144 90.00 90.00 90.00
Element x y z (fractional)
Al1 0.000 0.000 0.000
Cr1 0.500 0.500 0.500
Sb1 0.000 0.500 0.500
Sb2 0.500 0.000 0.500
Au1 0.500 0.500 0.000

Results
Uncorrected formation energy ... 0.56 eV per atom